Below is a geometry-optimized Sr2CeCdO5 structure, with properties calculated at the PBE-GGA level.

Unit cell a=3.7434 b=14.1078 c=11.1153 alpha=90.00 beta=90.00 gamma=90.00
Space group Cmc2_1 (No. 36)
Inequivalent atoms, fractional coordinates:
Sr  0.0000  0.1131  0.0000 [4 per cell]
Sr  0.0000  0.1435  0.5817 [4 per cell]
Ce  0.0000  0.4573  0.7854 [4 per cell]
Cd  0.0000  0.2357  0.3183 [4 per cell]
O  0.0000  0.0534  0.3829 [4 per cell]
O  0.0000  0.2855  0.9577 [4 per cell]
O  0.0000  0.3093  0.6885 [4 per cell]
O  0.0000  0.3916  0.3410 [4 per cell]
O  0.0000  0.4934  0.1057 [4 per cell]

## Properties
Raw formation energy: -2500.9 meV per atom
Total magnetization: 0.00 μB/f.u.
E: -6.390 eV/atom

***

Below is a geometry-optimized NaP3Ir structure, with properties calculated at the PBE-GGA level.

Unit cell a=4.7233 b=4.7233 c=4.7233 alpha=90.00 beta=90.00 gamma=90.00
Space group Pm-3m (No. 221)
Inequivalent atoms, fractional coordinates:
Na  0.0000  0.0000  0.0000 [1 per cell]
P  0.0000  0.5000  0.5000 [3 per cell]
Ir  0.5000  0.5000  0.5000 [1 per cell]

## Properties
ΔH_f (0 K): 0.480 eV per atom
Total magnetization: 0.00 μB/f.u.
E: -4.802 eV/atom
Energy above the most stable polymorph in this dataset: 0.0000 eV per atom

***

Below is a geometry-optimized Ti8GaIr2 structure, with properties calculated at the PBE-GGA level.

Unit cell a=13.1439 b=4.4429 c=6.9285 alpha=90.00 beta=119.69 gamma=90.00
Space group C2/m (No. 12)
Inequivalent atoms, fractional coordinates:
Ti  0.0569  0.0000  0.2271 [4 per cell]
Ti  0.0933  0.5000  0.9573 [4 per cell]
Ti  0.1384  0.0000  0.6907 [4 per cell]
Ti  0.1888  0.5000  0.4291 [4 per cell]
Ga  0.0000  0.5000  0.5000 [2 per cell]
Ir  0.2268  0.0000  0.1342 [4 per cell]

## Properties
ΔH_f (0 K): -0.462 eV per atom
Total magnetization: 0.00 μB/f.u.
E: -8.090 eV/atom

***

Below is a geometry-optimized CrIrRu structure, with properties calculated at the PBE-GGA level.

Unit cell a=4.1736 b=4.1736 c=2.6957 alpha=90.00 beta=90.00 gamma=120.00
Space group P-6m2 (No. 187)
Inequivalent atoms, fractional coordinates:
Cr  0.0000  0.0000  0.0000 [1 per cell]
Ir  0.3333  0.6667  0.5000 [1 per cell]
Ru  0.6667  0.3333  0.0000 [1 per cell]

## Properties
ΔH_f (0 K): 0.003 eV per atom
Total magnetization: 0.00 μB/f.u.
E: -9.250 eV/atom
Energy above the most stable polymorph in this dataset: 0.0303 eV per atom

***

Below is a geometry-optimized Pr2Al4ZnHg3 structure, with properties calculated at the PBE-GGA level.

Unit cell a=4.4307 b=4.4307 c=11.1420 alpha=90.00 beta=90.00 gamma=90.00
Space group P-4m2 (No. 115)
Inequivalent atoms, fractional coordinates:
Pr  0.0000  0.5000  0.2418 [2 per cell]
Al  0.0000  0.0000  0.5000 [1 per cell]
Al  0.0000  0.5000  0.8701 [2 per cell]
Al  0.5000  0.5000  0.5000 [1 per cell]
Zn  0.5000  0.5000  0.0000 [1 per cell]
Hg  0.0000  0.0000  0.0000 [1 per cell]
Hg  0.0000  0.5000  0.6392 [2 per cell]

## Properties
ΔH_f (0 K): -0.356 eV per atom
Total magnetization: 0.00 μB/f.u.
E: -3.027 eV/atom

***

Below is a geometry-optimized PaTaGe structure, with properties calculated at the PBE-GGA level.

Unit cell a=4.0456 b=4.0456 c=7.7577 alpha=90.00 beta=90.00 gamma=90.00
Space group P4/nmm (No. 129, origin choice 2)
Inequivalent atoms, fractional coordinates:
Pa  0.2500  0.2500  0.1438 [2 per cell]
Ta  0.2500  0.7500  0.5000 [2 per cell]
Ge  0.2500  0.2500  0.7487 [2 per cell]

## Properties
ΔH_f (0 K): -0.287 eV per atom
Total magnetization: 0.00 μB/f.u.
E: -8.943 eV/atom
Energy above the most stable polymorph in this dataset: 0.0358 eV per atom

***

Please write out number 5 again, unchanged.
Below is a geometry-optimized Pr2Al4ZnHg3 structure, with properties calculated at the PBE-GGA level.

Unit cell a=4.4307 b=4.4307 c=11.1420 alpha=90.00 beta=90.00 gamma=90.00
Space group P-4m2 (No. 115)
Inequivalent atoms, fractional coordinates:
Pr  0.0000  0.5000  0.2418 [2 per cell]
Al  0.0000  0.0000  0.5000 [1 per cell]
Al  0.0000  0.5000  0.8701 [2 per cell]
Al  0.5000  0.5000  0.5000 [1 per cell]
Zn  0.5000  0.5000  0.0000 [1 per cell]
Hg  0.0000  0.0000  0.0000 [1 per cell]
Hg  0.0000  0.5000  0.6392 [2 per cell]

## Properties
ΔH_f (0 K): -0.356 eV per atom
Total magnetization: 0.00 μB/f.u.
E: -3.027 eV/atom